P.
6
Lattice="3.197 0.000 0.000 -1.598 2.768 0.000 0.000 0.000 8.141" Properties=species:S:1:pos:R:3 comment="PBE ZrB4Pb, relaxed" space_group="P6/mmm, No. 191" volume_a3_per_atom=12.01 magnetic_moment_mub_per_fu=0.01 pbc="T T T"
Zr 0.000 0.000 0.000
B 0.000 1.846 1.731
B 0.000 1.846 6.410
B 1.598 0.923 1.731
B 1.598 0.923 6.410
Pb 0.000 0.000 4.070

=====

Q.
6
Lattice="-1.578 2.705 4.081 1.578 -2.705 4.081 1.578 2.705 -4.081" Properties=species:S:1:pos:R:3 comment="PBE ZrB4Pb, relaxed" space_group="Immm, No. 71" volume_a3_per_atom=11.61 magnetic_moment_mub_per_fu=0.00 pbc="T T T"
Zr 0.000 0.000 0.000
B 1.578 -0.899 2.005
B 1.578 0.899 2.005
B 0.000 1.806 2.075
B 0.000 3.604 2.075
Pb 0.000 0.000 4.081

=====

P is the most stable structure; the next one sits 238 meV/atom above it.

=====

P.
3
Lattice="0.000 3.030 3.030 3.030 0.000 3.030 3.030 3.030 0.000" Properties=species:S:1:pos:R:3 comment="PBE PmBPd, relaxed" space_group="F-43m, No. 216" volume_a3_per_atom=18.54 magnetic_moment_mub_per_fu=0.00 pbc="T T T"
Pm 0.000 0.000 0.000
B 4.545 4.545 4.545
Pd 3.030 3.030 3.030

=====

Q.
3
Lattice="0.000 3.209 3.209 3.209 0.000 3.209 3.209 3.209 0.000" Properties=species:S:1:pos:R:3 comment="PBE PmBPd, relaxed" space_group="F-43m, No. 216" volume_a3_per_atom=22.02 magnetic_moment_mub_per_fu=0.00 pbc="T T T"
Pm 0.000 0.000 0.000
B 4.813 4.813 4.813
Pd 1.604 1.604 1.604

=====

P is the most stable structure; the next one sits 723 meV/atom above it.